Record 1
The following is a DFT calculation (GGA-PBE) of a geometry-optimized Na3FeCo structure.

Summary:
Uncorrected energy: -2.43 eV/atom
Symmetry: No. 221
Relative energy among the computed polymorphs: 139 meV/atom
ΔE_f: 33.94 kcal/mol of atoms

Geometry as POSCAR:
```
Na3FeCo
1.0
-3.193 2.744 3.249
-3.804 -3.660 -0.648
1.901 -2.713 4.160
Co Na Fe
1 3 1
Direct
0.500 0.500 0.500
0.000 0.500 0.000
0.500 0.000 0.000
0.000 0.000 0.500
0.000 0.000 0.000
```



Record 2
The following is a DFT calculation (GGA-PBE) of a geometry-optimized Na2Fe2Co structure.

Summary:
Uncorrected energy: -4.36 eV/atom
Symmetry: No. 139
Relative energy among the computed polymorphs: 295 meV/atom
ΔE_f: 22.48 kcal/mol of atoms

Geometry as POSCAR:
```
Na2Fe2Co
1.0
-1.934 2.354 -1.678
-1.906 -2.556 -1.390
-6.301 0.195 3.930
Fe Na Co
2 2 1
Direct
0.576 0.576 0.849
0.424 0.424 0.151
0.250 0.750 0.500
0.750 0.250 0.500
0.000 0.000 0.000
```



Record 3
The following is a DFT calculation (GGA-PBE) of a geometry-optimized NaFeCo structure.

Summary:
Uncorrected energy: -4.98 eV/atom
Symmetry: No. 44
Relative energy among the computed polymorphs: 370 meV/atom
ΔE_f: 14.87 kcal/mol of atoms

Geometry as POSCAR:
```
NaFeCo
1.0
5.760 0.015 -0.001
1.553 3.950 -0.004
5.243 -1.297 4.001
Co Fe Na
2 2 2
Direct
0.859 0.665 0.282
0.359 0.165 0.782
0.707 0.241 0.282
0.207 0.741 0.782
0.779 0.455 0.782
0.279 0.955 0.282
```



Record 4
The following is a DFT calculation (GGA-PBE) of a geometry-optimized NaFeCo structure.

Summary:
Uncorrected energy: -5.00 eV/atom
Symmetry: No. 12
Relative energy among the computed polymorphs: 353 meV/atom
ΔE_f: 14.47 kcal/mol of atoms

Geometry as POSCAR:
```
NaFeCo
1.0
4.999 -0.001 -0.041
0.001 3.461 -0.004
-1.322 1.734 5.345
Na Fe Co
2 2 2
Direct
0.782 0.307 0.564
0.282 0.306 0.564
0.913 0.022 0.135
0.651 0.592 0.993
0.136 0.597 0.983
0.428 0.016 0.145
```



Repeat the second record exactly.
The following is a DFT calculation (GGA-PBE) of a geometry-optimized Na2Fe2Co structure.

Summary:
Uncorrected energy: -4.36 eV/atom
Symmetry: No. 139
Relative energy among the computed polymorphs: 295 meV/atom
ΔE_f: 22.48 kcal/mol of atoms

Geometry as POSCAR:
```
Na2Fe2Co
1.0
-1.934 2.354 -1.678
-1.906 -2.556 -1.390
-6.301 0.195 3.930
Fe Na Co
2 2 1
Direct
0.576 0.576 0.849
0.424 0.424 0.151
0.250 0.750 0.500
0.750 0.250 0.500
0.000 0.000 0.000
```



Which of these has the lowest relative energy among the computed polymorphs? Na3FeCo



Look up the ΔE_f of the first one. 33.94 kcal/mol of atoms



Which formula does entry 3 have? NaFeCo